No. 1
MgPaGe2 | PBE-GGA | optimized geometry

```
4
Lattice="-1.270 -0.813 3.155 0.808 -3.359 -0.540 5.985 1.010 2.670" Properties=species:S:1:pos:R:3 pbc="T T T"
Mg -0.231 -2.086 1.308
Ge 1.315 0.222 0.586
Ge 4.671 0.788 2.083
Pa 2.761 -1.581 2.642
```

Space group: P4/mmm, No. 123
ΔH_f (0 K) (eV/atom): -0.177
ΔE to the lowest computed polymorph (eV/atom): 0.212
Total magnetization (μB per formula unit): 0.00
Calculated volume (Å³ per cell): 81


No. 2
PmY6Ho3 | PBE-GGA | optimized geometry

```
20
Lattice="-4.747 1.814 3.901 3.203 -8.042 7.637 3.284 11.010 -1.124" Properties=species:S:1:pos:R:3 pbc="T T T"
Y 1.728 -0.046 2.879
Pm 0.787 -4.029 8.216
Y 1.704 4.181 6.145
Ho 2.789 3.217 2.920
Ho 0.720 6.671 8.147
Y 1.859 -1.776 6.122
Pm 3.215 7.946 0.341
Ho -3.573 4.708 3.837
Y -0.483 6.697 4.593
Ho -1.220 -1.033 4.109
Y -0.635 3.110 3.796
Y 0.556 5.718 1.479
Y 1.713 -7.183 8.730
Y -1.853 -1.696 7.256
Y 0.434 -0.650 9.552
Y 2.843 6.764 3.775
Ho 0.402 1.010 6.302
Ho 3.073 0.930 8.419
Y -0.581 12.198 2.185
Y 4.068 1.025 5.228
```

Space group: Cmc2_1, No. 36
ΔH_f (0 K) (eV/atom): 0.116
ΔE to the lowest computed polymorph (eV/atom): 0.000
Total magnetization (μB per formula unit): 0.00
Calculated volume (Å³ per cell): 649


No. 3
ReAgSb2 | PBE-GGA | optimized geometry

```
4
Lattice="-0.895 4.588 -0.315 -3.077 3.071 1.747 2.980 1.881 4.539" Properties=species:S:1:pos:R:3 pbc="T T T"
Ag -0.744 7.155 4.479
Sb -0.655 4.863 2.886
Re -0.248 2.385 1.493
Sb -3.813 7.566 1.532
```

Space group: C2/m, No. 12
E_form (uncorrected) (eV per atom): 0.507
ΔE to the lowest computed polymorph (eV/atom): 0.186
Total magnetization (μB per formula unit): 0.00
Calculated volume (Å³ per cell): 83


Among the records above, which one has the lowest calculated volume? MgPaGe2


The lowest ΔE to the lowest computed polymorph belongs to which entry? PmY6Ho3


Which of these has the lowest ΔE to the lowest computed polymorph? PmY6Ho3